Entry 1:
Density functional theory data (PBE) for crystalline NdTiN2 at its relaxed geometry.

```
data_NdTiN2
_symmetry_space_group_name_H-M 'P m m 2'
_symmetry_Int_Tables_number 25
_cell_length_a 4.0074
_cell_length_b 4.0189
_cell_length_c 3.5331
_cell_angle_alpha 90.00
_cell_angle_beta 90.00
_cell_angle_gamma 90.00
loop_
_symmetry_equiv_pos_as_xyz
'x,y,z'
'-x,-y,z'
'-x,y,z'
'x,-y,z'
loop_
_atom_site_label
_atom_site_type_symbol
_atom_site_fract_x
_atom_site_fract_y
_atom_site_fract_z
_atom_site_occupancy
Nd1 Nd 0.0000 0.0000 0.0000 1
Ti1 Ti 0.5000 0.5000 0.4990 1
N1 N 0.0000 0.5000 0.4163 1
N2 N 0.5000 0.0000 0.5777 1
```

raw formation energy: -1282 meV per atom

Entry 2:
Density functional theory data (PBE) for crystalline V2CdSeI at its relaxed geometry.

```
data_V2CdSeI
_symmetry_space_group_name_H-M 'P 4/m m m'
_symmetry_Int_Tables_number 123
_symmetry_space_group_name_Hall '-P 4 2'
_cell_length_a 5.2092
_cell_length_b 5.2092
_cell_length_c 5.6404
_cell_angle_alpha 90.00
_cell_angle_beta 90.00
_cell_angle_gamma 90.00
loop_
_atom_site_label
_atom_site_type_symbol
_atom_site_fract_x
_atom_site_fract_y
_atom_site_fract_z
_atom_site_occupancy
V1 V 0.0000 0.5000 0.0000 1
Cd1 Cd 0.0000 0.0000 0.5000 1
Se1 Se 0.5000 0.5000 0.5000 1
I1 I 0.0000 0.0000 0.0000 1
```

raw formation energy: 1232 meV per atom

- Which of these has the lowest raw formation energy?
  NdTiN2